First-principles (PBE-GGA) data for a geometry-optimized Pm5Mg4Tl4 structure, as listed in the Alexandria database.

formation enthalpy at 0 K	-338	kJ/mol of formula units
volume	366.5	Å³ per cell
mass density	7.43	g/cm3
D(E_F)	12.13	states/eV/cell
magnetic moment	0.00	Bohr magnetons per cell
space-group type	I4/m, No. 87

Cell lengths 4.634, 9.191, 9.191 Å; angles 86.36, 75.40, 75.40 degrees
Positions (direct):
Pm  0.701  0.926  0.671
Pm  0.299  0.074  0.329
Pm  0.000  0.000  0.000
Pm  0.628  0.671  0.074
Pm  0.372  0.329  0.926
Mg  0.897  0.521  0.685
Mg  0.582  0.315  0.521
Mg  0.103  0.479  0.315
Mg  0.418  0.685  0.479
Tl  0.750  0.314  0.187
Tl  0.250  0.686  0.813
Tl  0.936  0.813  0.314
Tl  0.064  0.187  0.686



First-principles (PBE-GGA) data for a geometry-optimized Si2AsPt structure, as listed in the Alexandria database.

volume	63.9	Å³ per cell
mass density	8.48	g/cm3
D(E_F)	2.21	states/eV/cell
magnetic moment	0.00	Bohr magnetons per cell
formation energy from raw total energies	0.231	eV per atom
space-group type	Pmmm, No. 47

Cell lengths 2.778, 4.789, 4.800 Å; angles 90.00, 90.00, 90.00 degrees
Positions (direct):
As  0.500  0.000  0.500
Pt  0.000  0.500  0.500
Si  0.000  0.000  0.000
Si  0.500  0.500  0.000



Copy entry 1 word for word.
First-principles (PBE-GGA) data for a geometry-optimized Pm5Mg4Tl4 structure, as listed in the Alexandria database.

formation enthalpy at 0 K	-338	kJ/mol of formula units
volume	366.5	Å³ per cell
mass density	7.43	g/cm3
D(E_F)	12.13	states/eV/cell
magnetic moment	0.00	Bohr magnetons per cell
space-group type	I4/m, No. 87

Cell lengths 4.634, 9.191, 9.191 Å; angles 86.36, 75.40, 75.40 degrees
Positions (direct):
Pm  0.701  0.926  0.671
Pm  0.299  0.074  0.329
Pm  0.000  0.000  0.000
Pm  0.628  0.671  0.074
Pm  0.372  0.329  0.926
Mg  0.897  0.521  0.685
Mg  0.582  0.315  0.521
Mg  0.103  0.479  0.315
Mg  0.418  0.685  0.479
Tl  0.750  0.314  0.187
Tl  0.250  0.686  0.813
Tl  0.936  0.813  0.314
Tl  0.064  0.187  0.686



Copy entry 2 word for word.
First-principles (PBE-GGA) data for a geometry-optimized Si2AsPt structure, as listed in the Alexandria database.

volume	63.9	Å³ per cell
mass density	8.48	g/cm3
D(E_F)	2.21	states/eV/cell
magnetic moment	0.00	Bohr magnetons per cell
formation energy from raw total energies	0.231	eV per atom
space-group type	Pmmm, No. 47

Cell lengths 2.778, 4.789, 4.800 Å; angles 90.00, 90.00, 90.00 degrees
Positions (direct):
As  0.500  0.000  0.500
Pt  0.000  0.500  0.500
Si  0.000  0.000  0.000
Si  0.500  0.500  0.000